# Cd2SiTc

A crystal of Cd2SiTc relaxed with PBEsol (meta-GGA SCAN, Alexandria).

```
Cd2SiTc
1.0
-2.2721 3.0154 1.2341
0.2562 -1.3345 3.7325
4.3883 1.4643 -1.8913
Si Tc Cd
1 1 2
direct
0.5000 0.5000 0.0000
0.2500 0.7500 0.5000
0.7500 0.2500 0.5000
0.0000 0.0000 0.0000
```

* crystal system: tetragonal
* ΔE_f (raw): 0.358 eV/atom

# AgAsPt2

A crystal of AgAsPt2 relaxed with PBEsol (meta-GGA SCAN, Alexandria).

```
AgAsPt2
1.0
2.8775 0.0000 0.0000
0.0000 3.8344 0.0000
0.0000 0.0000 5.8101
As Pt Ag
1 2 1
direct
0.5000 0.5000 0.7927
0.0000 0.0000 0.9816
0.5000 0.5000 0.2405
0.0000 0.0000 0.4852
```

* crystal system: orthorhombic
* formation enthalpy at 0 K: -0.06 eV per formula unit

# AlSi2Tc

A crystal of AlSi2Tc relaxed with PBEsol (meta-GGA SCAN, Alexandria).

```
AlSi2Tc
1.0
3.0931 0.0000 0.0000
0.0000 4.0964 0.0000
-1.5466 0.0000 4.5451
Al Si Tc
1 2 1
direct
0.7083 0.5000 0.4165
0.4419 0.5000 0.8839
0.0242 0.0000 0.0485
0.3054 0.0000 0.6107
```

* crystal system: orthorhombic
* ΔE_f (raw): -0.193 eV/atom

# Mg30NbCoO32

A crystal of Mg30NbCoO32 relaxed with PBEsol (meta-GGA SCAN, Alexandria).

```
Mg30NbCoO32
1.0
-8.1259 1.1501 -2.0864
-2.2986 -5.7337 5.7920
-0.6267 6.1309 5.8205
Mg O Co Nb
30 32 1 1
direct
0.2466 0.5000 0.7469
0.0000 0.5000 0.0000
0.2488 0.7512 0.5000
0.0000 0.0000 0.5000
0.2473 0.0000 0.7516
0.2432 0.7568 0.0000
0.7534 0.5000 0.2531
0.5000 0.0000 0.0000
0.7512 0.2488 0.5000
0.7568 0.2432 0.0000
0.2432 0.2432 0.0000
0.7534 0.5000 0.7469
0.5000 0.2466 0.7469
0.2488 0.2488 0.5000
0.7527 0.0000 0.7516
0.0000 0.7527 0.2484
0.5000 0.7534 0.7469
0.5000 0.2466 0.2531
0.0000 0.2473 0.2484
0.5000 0.0000 0.5000
0.0000 0.2473 0.7516
0.2466 0.5000 0.2531
0.7512 0.7512 0.5000
0.5000 0.7534 0.2531
0.5000 0.5000 0.5000
0.0000 0.5000 0.5000
0.7527 0.0000 0.2484
0.2473 0.0000 0.2484
0.0000 0.7527 0.7516
0.7568 0.7568 0.0000
0.2496 0.5000 0.5000
0.0000 0.2510 0.5000
0.7412 0.0000 0.0000
0.7495 0.2505 0.2491
0.2505 0.7495 0.7509
0.0000 0.7412 0.0000
0.5000 0.7504 0.5000
0.7495 0.2505 0.7509
0.7495 0.7495 0.7509
0.5000 0.5000 0.7411
0.2505 0.7495 0.2491
0.2510 0.0000 0.5000
0.5000 0.0000 0.2513
0.5000 0.5000 0.2589
0.0000 0.0000 0.2578
0.5000 0.0000 0.7487
0.2505 0.2505 0.7509
0.5000 0.7542 0.0000
0.5000 0.2458 0.0000
0.0000 0.5000 0.2513
0.7504 0.5000 0.5000
0.5000 0.2496 0.5000
0.2505 0.2505 0.2491
0.0000 0.2588 0.0000
0.2458 0.5000 0.0000
0.7542 0.5000 0.0000
0.7490 0.0000 0.5000
0.0000 0.7490 0.5000
0.2588 0.0000 0.0000
0.7495 0.7495 0.2491
0.0000 0.0000 0.7422
0.0000 0.5000 0.7487
0.0000 0.0000 0.0000
0.5000 0.5000 0.0000
```

* crystal system: tetragonal
* ΔE_f (raw): -2.887 eV/atom

# CaTi2CuPb

A crystal of CaTi2CuPb relaxed with PBEsol (meta-GGA SCAN, Alexandria).

```
CaTi2CuPb
1.0
-4.0688 -0.7031 2.5965
-1.2415 -4.1127 -3.0591
2.6303 -3.2127 3.2517
Pb Cu Ti Ca
1 1 2 1
direct
0.0000 0.0000 0.0000
0.5000 0.0000 0.0000
0.0000 0.0000 0.5000
0.0000 0.5000 0.0000
0.5000 0.5000 0.5000
```

* crystal system: tetragonal
* formation enthalpy at 0 K: 3.47 eV per formula unit

# Re2PBr

A crystal of Re2PBr relaxed with PBEsol (meta-GGA SCAN, Alexandria).

```
Re2PBr
1.0
-4.2467 1.2456 -0.3189
-3.2299 -3.0239 0.3328
-2.6090 -0.0736 3.5882
P Br Re
1 1 2
direct
0.7500 0.7500 0.7500
0.5000 0.5000 0.5000
0.2500 0.2500 0.2500
0.0000 0.0000 0.0000
```

* crystal system: cubic
* ΔE_f (raw): 1.491 eV/atom

# MoPdI3

A crystal of MoPdI3 relaxed with PBEsol (meta-GGA SCAN, Alexandria).

```
MoPdI3
1.0
-2.6579 4.5879 0.8088
-4.5997 -2.4367 -1.2935
-0.7390 -1.3346 5.1420
I Mo Pd
3 1 1
direct
0.5000 0.0000 0.0000
0.0000 0.5000 0.0000
0.0000 0.0000 0.5000
0.5000 0.5000 0.5000
0.0000 0.0000 0.0000
```

* crystal system: cubic
* ΔE_f (raw): 0.672 eV/atom

# GdPd

A crystal of GdPd relaxed with PBEsol (meta-GGA SCAN, Alexandria).

```
GdPd
1.0
-1.6858 0.2199 -3.2953
3.4171 -2.2447 -1.8979
-1.6110 -4.6508 2.6000
Gd Pd
2 2
direct
0.1378 0.7500 0.2755
0.8622 0.2500 0.7245
0.4144 0.7500 0.8288
0.5856 0.2500 0.1712
```

* crystal system: orthorhombic
* formation enthalpy at 0 K: -1.81 eV per formula unit

# La2TlAg

A crystal of La2TlAg relaxed with PBEsol (meta-GGA SCAN, Alexandria).

```
La2TlAg
1.0
4.5955 0.0000 0.0000
0.0000 4.5955 0.0000
-2.2977 -2.2977 5.0510
Tl La Ag
1 2 1
direct
0.5000 0.5000 0.0000
0.7500 0.2500 0.5000
0.0000 0.0000 0.0000
0.2500 0.7500 0.5000
```

* crystal system: tetragonal
* formation enthalpy at 0 K: -1.46 eV per formula unit

# ZrMn2Cd

A crystal of ZrMn2Cd relaxed with PBEsol (meta-GGA SCAN, Alexandria).

```
ZrMn2Cd
1.0
-0.3283 2.9777 -3.3178
0.3567 -3.2986 -2.9957
-3.1419 -0.1807 3.1600
Cd Mn Zr
1 2 1
direct
0.5000 0.5000 0.0000
0.7500 0.2500 0.5000
0.2500 0.7500 0.5000
0.0000 0.0000 0.0000
```

* crystal system: tetragonal
* formation enthalpy at 0 K: -0.18 eV per formula unit

# LiNiI2

A crystal of LiNiI2 relaxed with PBEsol (meta-GGA SCAN, Alexandria).

```
LiNiI2
1.0
-3.4304 3.7076 -0.3731
-2.7049 1.3654 4.0587
0.8509 4.4705 2.2235
I Li Ni
2 1 1
direct
0.2500 0.2500 0.2500
0.7500 0.7500 0.7500
0.0000 0.0000 0.0000
0.5000 0.5000 0.5000
```

* crystal system: cubic
* ΔE_f (raw): 0.107 eV/atom

# MoPRh2

A crystal of MoPRh2 relaxed with PBEsol (meta-GGA SCAN, Alexandria).

```
MoPRh2
1.0
-2.1483 -1.7984 -0.2440
1.9541 -2.5909 1.8920
-0.8871 2.6453 4.5386
Mo Rh P
1 2 1
direct
0.0709 0.0000 0.5172
0.8049 0.0000 0.9847
0.4466 0.5000 0.2687
0.6775 0.5000 0.7294
```

* crystal system: orthorhombic
* formation enthalpy at 0 K: -1.35 eV per formula unit

# LaSb

A crystal of LaSb relaxed with PBEsol (meta-GGA SCAN, Alexandria).

```
LaSb
1.0
4.5916 0.0000 0.0000
0.0000 4.5916 0.0000
-2.2958 -2.2958 5.5593
La Sb
2 2
direct
0.0000 0.0000 0.0000
0.2500 0.7500 0.5000
0.7500 0.2500 0.5000
0.5000 0.5000 0.0000
```

* crystal system: tetragonal
* ΔE_f (raw): -1.100 eV/atom

# BaBr3

A crystal of BaBr3 relaxed with PBEsol (meta-GGA SCAN, Alexandria).

```
BaBr3
1.0
4.6002 0.0000 0.0000
0.0000 4.6002 0.0000
-2.3001 -2.3001 5.5716
Ba Br
1 3
direct
0.0000 0.0000 0.0000
0.7500 0.2500 0.5000
0.2500 0.7500 0.5000
0.5000 0.5000 0.0000
```

* crystal system: tetragonal
* ΔE_f (raw): -1.600 eV/atom

# KMgRe

A crystal of KMgRe relaxed with PBEsol (meta-GGA SCAN, Alexandria).

```
KMgRe
1.0
2.5998 0.0000 0.0000
0.0000 5.2151 0.0000
0.0000 -2.6076 4.5164
K Re Mg
1 1 1
direct
0.8477 0.0000 0.0000
0.3332 0.3333 0.6667
0.8190 0.6667 0.3333
```

* crystal system: trigonal
* formation enthalpy at 0 K: 3.72 eV per formula unit

# BiSbAsBr2

A crystal of BiSbAsBr2 relaxed with PBEsol (meta-GGA SCAN, Alexandria).

```
BiSbAsBr2
1.0
-2.8412 1.2176 -4.3060
-3.9455 -3.0881 1.7302
-2.2335 4.3720 2.7100
Br Sb As Bi
2 1 1 1
direct
0.0000 0.5000 0.0000
0.5000 0.0000 0.0000
0.0000 0.0000 0.0000
0.0000 0.0000 0.5000
0.5000 0.5000 0.5000
```

* crystal system: tetragonal
* ΔE_f (raw): 0.391 eV/atom

# AlCd2Cu

A crystal of AlCd2Cu relaxed with PBEsol (meta-GGA SCAN, Alexandria).

```
AlCd2Cu
1.0
-2.4110 -0.4693 -1.5577
1.5672 -1.4172 -1.9988
-1.2159 -6.9529 3.9765
Al Cu Cd
1 1 2
direct
0.5000 0.5000 0.7056
0.0000 0.0000 0.5211
0.5000 0.5000 0.2860
0.0000 0.0000 0.9873
```

* crystal system: tetragonal
* formation enthalpy at 0 K: 0.05 eV per formula unit

# KTc2Te

A crystal of KTc2Te relaxed with PBEsol (meta-GGA SCAN, Alexandria).

```
KTc2Te
1.0
-2.3232 -0.4557 1.9373
1.0898 -2.7830 0.6523
4.9207 3.5029 6.7247
Tc Te K
2 1 1
direct
0.0000 0.0000 0.0700
0.5000 0.5000 0.2161
0.0000 0.0000 0.4472
0.5000 0.5000 0.7668
```

* crystal system: tetragonal
* ΔE_f (raw): 0.401 eV/atom

# Na3Mg

A crystal of Na3Mg relaxed with PBEsol (meta-GGA SCAN, Alexandria).

```
Na3Mg
1.0
5.0147 0.0000 0.0000
0.0000 5.0147 0.0000
0.0000 0.0000 5.0147
Na Mg
3 1
direct
0.5000 0.0000 0.0000
0.0000 0.0000 0.5000
0.0000 0.5000 0.0000
0.5000 0.5000 0.5000
```

* crystal system: cubic
* formation enthalpy at 0 K: 0.39 eV per formula unit

# TlCr2Te

A crystal of TlCr2Te relaxed with PBEsol (meta-GGA SCAN, Alexandria).

```
TlCr2Te
1.0
4.8849 0.0000 0.0000
2.4425 4.2305 0.0000
2.4425 1.4102 3.9885
Tl Cr Te
1 2 1
direct
0.2500 0.2500 0.2500
0.7500 0.7500 0.7500
0.0000 0.0000 0.0000
0.5000 0.5000 0.5000
```

* crystal system: cubic
* ΔE_f (raw): 0.383 eV/atom

# NiCO3

A crystal of NiCO3 relaxed with PBEsol (meta-GGA SCAN, Alexandria).

```
NiCO3
1.0
4.5709 0.0000 0.0000
2.2854 3.9585 0.0000
2.2854 1.3195 4.8025
C O Ni
2 6 2
direct
0.7500 0.7500 0.7500
0.2500 0.2500 0.2500
0.9673 0.2500 0.2500
0.0327 0.7500 0.7500
0.4673 0.0327 0.7500
0.7500 0.4673 0.7500
0.5327 0.9673 0.2500
0.2500 0.5327 0.2500
0.5000 0.5000 0.5000
0.0000 0.0000 0.0000
```

* crystal system: trigonal
* ΔE_f (raw): -1.482 eV/atom

# Pt2PbWO

A crystal of Pt2PbWO relaxed with PBEsol (meta-GGA SCAN, Alexandria).

```
Pt2PbWO
1.0
-1.8801 -1.6966 2.9101
-1.1311 -3.4887 -2.7647
3.8477 -2.2007 1.2028
Pb W Pt O
1 1 2 1
direct
0.5000 0.5000 0.5000
0.5000 0.0000 0.0000
0.0000 0.5000 0.0000
0.0000 0.0000 0.5000
0.0000 0.0000 0.0000
```

* crystal system: tetragonal
* ΔE_f (raw): 0.469 eV/atom

# Hf3ReSb

A crystal of Hf3ReSb relaxed with PBEsol (meta-GGA SCAN, Alexandria).

```
Hf3ReSb
1.0
-0.3911 4.7979 -1.4668
-3.0342 0.9456 3.9018
3.9957 1.1876 2.8194
Hf Sb Re
3 1 1
direct
0.0000 0.5000 0.0000
0.0000 0.0000 0.5000
0.5000 0.0000 0.0000
0.0000 0.0000 0.0000
0.5000 0.5000 0.5000
```

* crystal system: cubic
* ΔE_f (raw): 1.627 eV/atom

# Na4MnO4

A crystal of Na4MnO4 relaxed with PBEsol (meta-GGA SCAN, Alexandria).

```
Na4MnO4
1.0
4.8479 0.0000 0.0000
0.0000 6.7617 -0.0651
0.0000 -0.0218 7.6543
Na O Mn
8 8 2
direct
0.7233 0.5391 0.1835
0.2449 0.8132 0.2304
0.7551 0.3132 0.7304
0.2424 0.2787 0.0077
0.2767 0.0391 0.6835
0.7576 0.7787 0.5077
0.1484 0.6942 0.8151
0.8516 0.1942 0.3151
0.6548 0.4441 0.4703
0.7469 0.2446 0.0244
0.2322 0.3801 0.7009
0.3452 0.9441 0.9703
0.1982 0.4595 0.2609
0.2531 0.7446 0.5244
0.7678 0.8801 0.2009
0.8018 0.9595 0.7609
0.3032 0.4901 0.4862
0.6968 0.9901 0.9862
```

* crystal system: monoclinic
* ΔE_f (raw): -1.771 eV/atom

# Ba2ZnBrCl

A crystal of Ba2ZnBrCl relaxed with PBEsol (meta-GGA SCAN, Alexandria).

```
Ba2ZnBrCl
1.0
6.0585 0.0000 0.0000
0.0000 6.0585 0.0000
0.0000 0.0000 6.2266
Zn Ba Br Cl
1 2 1 1
direct
0.5000 0.5000 0.5000
0.0000 0.5000 0.0000
0.5000 0.0000 0.0000
0.0000 0.0000 0.0000
0.0000 0.0000 0.5000
```

* crystal system: tetragonal
* ΔE_f (raw): -0.800 eV/atom

Magnetization values, unit Bohr magnetons per cell, following the record order: 0.88 0.00 0.00 4.47 4.87 0.32 4.85 15.02 0.00 5.78 1.00 0.00 0.00 0.00 0.85 1.03 0.00 0.00 0.00 0.60 4.00 0.00 1.92 6.00 0.00.